First-principles (PBE) data for crystalline SrSb2 at its relaxed geometry, as listed in Alexandria.

The calculation puts the electronic total energy at -3.903 eV per atom. The calculation puts the density at 5.26 g/cm³. The formation energy (no corrections) comes out at -0.594 eV/atom. The calculation puts the density of states at the Fermi level at 1.19 states/eV/f.u.

The structure belongs to space group C2/m (No. 12); the cell edges are 11.9805, 4.3154 and 8.1013 Å and the angles 90.00°, 94.08° and 90.00°. The inequivalent atoms are Sr at (0.1129, 0.0000, 0.2811), Sb at (0.1028, 0.5000, 0.6391) and Sb at (0.1839, 0.0000, 0.8755).